VCu13As3S16 after structural relaxation, computed with GGA-PBE.

abc: 10.672 10.672 10.672
angles: 90.00 90.00 90.00
Atoms (fractional coordinates):
V 0.000 0.000 0.000
V 0.500 0.500 0.500
Cu 0.000 0.000 0.256
Cu 0.000 0.000 0.744
Cu 0.000 0.250 0.500
Cu 0.000 0.256 0.000
Cu 0.000 0.744 0.000
Cu 0.000 0.750 0.500
Cu 0.244 0.500 0.500
Cu 0.247 0.247 0.753
Cu 0.247 0.753 0.247
Cu 0.250 0.500 0.000
Cu 0.253 0.253 0.253
Cu 0.253 0.747 0.747
Cu 0.256 0.000 0.000
Cu 0.500 0.000 0.250
Cu 0.500 0.000 0.750
Cu 0.500 0.244 0.500
Cu 0.500 0.500 0.244
Cu 0.500 0.500 0.756
Cu 0.500 0.756 0.500
Cu 0.744 0.000 0.000
Cu 0.747 0.253 0.747
Cu 0.747 0.747 0.253
Cu 0.750 0.500 0.000
Cu 0.753 0.247 0.247
Cu 0.753 0.753 0.753
Cu 0.756 0.500 0.500
As 0.000 0.500 0.250
As 0.000 0.500 0.750
As 0.250 0.000 0.500
As 0.500 0.250 0.000
As 0.500 0.750 0.000
As 0.750 0.000 0.500
S 0.121 0.121 0.121
S 0.121 0.879 0.879
S 0.125 0.129 0.625
S 0.125 0.371 0.375
S 0.125 0.629 0.625
S 0.125 0.871 0.375
S 0.129 0.375 0.875
S 0.129 0.625 0.125
S 0.371 0.375 0.125
S 0.371 0.625 0.875
S 0.375 0.125 0.371
S 0.375 0.125 0.871
S 0.375 0.875 0.129
S 0.375 0.875 0.629
S 0.379 0.379 0.621
S 0.379 0.621 0.379
S 0.621 0.379 0.379
S 0.621 0.621 0.621
S 0.625 0.125 0.129
S 0.625 0.125 0.629
S 0.625 0.875 0.371
S 0.625 0.875 0.871
S 0.629 0.375 0.875
S 0.629 0.625 0.125
S 0.871 0.375 0.125
S 0.871 0.625 0.875
S 0.875 0.129 0.375
S 0.875 0.371 0.625
S 0.875 0.629 0.375
S 0.875 0.871 0.625
S 0.879 0.121 0.879
S 0.879 0.879 0.121

Computed properties:
Volume (Å³ per cell): 1215.3
Spin magnetization (μB per atom): 0.0000
E_form (uncorrected) (eV per atom): -0.290
Space group: P-43n (218)

---

BeAgAu2 after structural relaxation, computed with GGA-PBE.

abc: 4.669 4.669 3.030
angles: 90.00 90.00 102.99
Atoms (fractional coordinates):
Be 0.000 0.000 0.000
Ag 0.500 0.500 0.000
Au 0.000 0.500 0.500
Au 0.500 0.000 0.500

Computed properties:
Volume (Å³ per cell): 64.4
Formation energy (kJ per mole of atoms): 9.42
Spin magnetization (μB per atom): 0.0000
Space group: Cmmm (65)